Entry 1:
Compound: TmGaCoAg
Source: Alexandria
Functional: GGA-PBE
Structure: relaxed

```
TmGaCoAg
1.0
-4.4484 -1.1464 -0.1495
-1.7191 -2.9447 3.0819
-2.8709 1.5013 3.2602
Ga Ag Co Tm
1 1 1 1
Direct
0.5000 0.5000 0.5000 Ga
0.2500 0.2500 0.2500 Ag
0.7500 0.7500 0.7500 Co
0.0000 0.0000 0.0000 Tm
```

Properties
**Total magnetic moment**: 0.630 μB per formula unit
**Symmetry**: No. 216
**ΔE_f**: -159 meV/atom

Entry 2:
Compound: GdCo4Ag
Source: Alexandria
Functional: GGA-PBE
Structure: relaxed

```
GdCo4Ag
1.0
-1.8086 3.5890 -2.9565
-4.7589 -0.1578 -1.4903
-3.2880 3.2931 1.7992
Ag Co Gd
1 4 1
Direct
0.2500 0.2500 0.2500 Ag
0.1264 0.6245 0.6245 Co
0.6245 0.6245 0.1264 Co
0.6245 0.1264 0.6245 Co
0.6245 0.6245 0.6245 Co
0.0000 0.0000 0.0000 Gd
```

Properties
**Total magnetic moment**: 12.739 μB per formula unit
**Symmetry**: No. 216
**ΔE_f**: 1 meV/atom

Entry 3:
Compound: Gd3CoAg
Source: Alexandria
Functional: GGA-PBE
Structure: relaxed

```
Gd3CoAg
1.0
-0.3428 -5.1107 0.7621
3.8314 -0.7639 -3.3992
3.4670 0.3388 3.8318
Gd Ag Co
3 1 1
Direct
0.0000 0.5000 0.0000 Gd
0.5000 0.0000 0.0000 Gd
0.0000 0.0000 0.5000 Gd
0.5000 0.5000 0.5000 Ag
0.0000 0.0000 0.0000 Co
```

Properties
**Total magnetic moment**: 21.913 μB per formula unit
**Symmetry**: No. 221
**ΔE_f**: -55 meV/atom

Entry 4:
Compound: GdHoCoAg
Source: Alexandria
Functional: GGA-PBE
Structure: relaxed

```
GdHoCoAg
1.0
-1.6682 0.4387 -4.6492
-1.6122 -4.0024 -2.4437
-4.8351 -0.5379 -0.9604
Co Gd Ho Ag
1 1 1 1
Direct
0.7500 0.7500 0.7500 Co
0.0000 0.0000 0.0000 Gd
0.5000 0.5000 0.5000 Ho
0.2500 0.2500 0.2500 Ag
```

Properties
**Total magnetic moment**: 6.693 μB per formula unit
**Symmetry**: No. 216
**ΔE_f**: -168 meV/atom

Entry 5:
Compound: PmGdCoAg
Source: Alexandria
Functional: GGA-PBE
Structure: relaxed

```
PmGdCoAg
1.0
-3.8419 -2.2638 2.3493
-2.8135 -3.3849 -2.4559
0.3090 -4.8842 1.2057
Ag Pm Gd Co
1 1 1 1
Direct
0.2500 0.2500 0.2500 Ag
0.0000 0.0000 0.0000 Pm
0.5000 0.5000 0.5000 Gd
0.7500 0.7500 0.7500 Co
```

Properties
**Total magnetic moment**: 6.671 μB per formula unit
**Symmetry**: No. 216
**ΔE_f**: -117 meV/atom

Entry 6:
Compound: TbGdCoAg
Source: Alexandria
Functional: GGA-PBE
Structure: relaxed

```
TbGdCoAg
1.0
4.9818 0.0000 0.0000
2.4909 4.3144 0.0000
2.4909 1.4381 4.0676
Tb Ag Gd Co
1 1 1 1
Direct
0.0000 0.0000 0.0000 Tb
0.7500 0.7500 0.7500 Ag
0.5000 0.5000 0.5000 Gd
0.2500 0.2500 0.2500 Co
```

Properties
**Total magnetic moment**: 6.680 μB per formula unit
**Symmetry**: No. 216
**ΔE_f**: -155 meV/atom

Entry 7:
Compound: GdThCoAg
Source: Alexandria
Functional: GGA-PBE
Structure: relaxed

```
GdThCoAg
1.0
5.0634 0.0000 0.0000
2.5317 4.3850 0.0000
2.5317 1.4617 4.1342
Ag Gd Co Th
1 1 1 1
Direct
0.2500 0.2500 0.2500 Ag
0.5000 0.5000 0.5000 Gd
0.7500 0.7500 0.7500 Co
0.0000 0.0000 0.0000 Th
```

Properties
**Total magnetic moment**: 6.919 μB per formula unit
**Symmetry**: No. 216
**ΔE_f**: -70 meV/atom

Entry 8:
Compound: GdYCoAg
Source: Alexandria
Functional: GGA-PBE
Structure: relaxed

```
GdYCoAg
1.0
-0.4130 4.0366 2.8877
-2.7940 -0.1607 4.1196
2.1668 0.0867 4.4834
Y Gd Co Ag
1 1 1 1
Direct
0.7500 0.7500 0.7500 Y
0.2500 0.2500 0.2500 Gd
0.5000 0.5000 0.5000 Co
0.0000 0.0000 0.0000 Ag
```

Properties
**Total magnetic moment**: 6.704 μB per formula unit
**Symmetry**: No. 216
**ΔE_f**: -158 meV/atom

What is the ΔE_f in the fifth record?
-117 meV/atom

Number 1 is which compound?
TmGaCoAg

Look up the total magnetic moment of the third one.
21.913 μB per formula unit